No. 1
Density functional theory data (PBE-GGA) for a geometry-optimized KTl2SbBr8 structure.

## Properties
The symmetry is P2/m (10). The calculation puts the theoretical density at 4340 kg/m³. Its raw formation energy is -736 meV per atom. The value obtained for the total magnetic moment is 0.00 μB/f.u.

Lattice parameters (Å, degrees): 6.8999 9.3421 7.1751 90.00 90.47 90.00
Last column: nearest neighbours and their distance in Å.
Element x y z (fractional)
1 K 0.0000 0.0000 0.0000  6 Br 3.23-3.33
2 Tl 0.5000 0.2511 0.5000  6 Br 2.96-3.22
3 Tl 0.5000 0.7489 0.5000  6 Br 2.96-3.22
4 Sb 0.0000 0.5000 0.0000  6 Br 2.78-2.80
5 Br 0.2239 0.2883 0.1687  1 Sb 2.78, 1 Tl 3.05
6 Br 0.2239 0.7117 0.1687  1 Sb 2.78, 1 Tl 3.05
7 Br 0.2518 0.5000 0.6956  1 Sb 2.80
8 Br 0.2894 0.0000 0.6476  2 Tl 2.96, 1 K 3.23
9 Br 0.7106 0.0000 0.3524  2 Tl 2.96, 1 K 3.23
10 Br 0.7482 0.5000 0.3044  1 Sb 2.80
11 Br 0.7761 0.2883 0.8313  1 Sb 2.78, 1 Tl 3.05
12 Br 0.7761 0.7117 0.8313  1 Sb 2.78, 1 Tl 3.05

***

No. 2
Density functional theory data (PBE-GGA) for a geometry-optimized Ni2SbAs2 structure.

## Properties
The symmetry is P4/mbm (127). The calculation puts the theoretical density at 7827 kg/m³. Its raw formation energy is 43 meV per atom. The value obtained for the total magnetic moment is 0.00 μB/f.u. As for the energy above the most stable polymorph in this dataset: 33 meV/atom.

Lattice parameters (Å, degrees): 7.2960 7.2960 3.1006 90.00 90.00 90.00
Last column: nearest neighbours and their distance in Å.
Element x y z (fractional)
1 Ni 0.1272 0.3728 0.0000  4 As 2.51, 1 Ni 2.62
2 Ni 0.3728 0.8728 0.0000  4 As 2.51, 1 Ni 2.62
3 Ni 0.6272 0.1272 0.0000  4 As 2.51, 1 Ni 2.62
4 Ni 0.8728 0.6272 0.0000  4 As 2.51, 1 Ni 2.62
5 Sb 0.0000 0.0000 0.0000  4 Ni 2.87, 2 Sb 3.10, 8 As 3.21
6 Sb 0.5000 0.5000 0.0000  4 Ni 2.87, 2 Sb 3.10, 8 As 3.21
7 As 0.1427 0.6427 0.5000  4 Ni 2.51
8 As 0.3573 0.1427 0.5000  4 Ni 2.51
9 As 0.6427 0.8573 0.5000  4 Ni 2.51
10 As 0.8573 0.3573 0.5000  4 Ni 2.51

***

No. 3
Density functional theory data (PBE-GGA) for a geometry-optimized Sb2TeSe structure.

## Properties
The symmetry is Fm-3m (225). The calculation puts the theoretical density at 7253 kg/m³. Its raw formation energy is 160 meV per atom. The value obtained for the total magnetic moment is 0.00 μB/f.u. As for the energy above the most stable polymorph in this dataset: 194 meV/atom.

Lattice parameters (Å, degrees): 5.2624 5.2624 5.2624 60.00 60.00 60.00
Last column: nearest neighbours and their distance in Å.
Element x y z (fractional)
1 Sb 0.2500 0.2500 0.2500  4 Se 3.22, 4 Te 3.22
2 Sb 0.7500 0.7500 0.7500  4 Te 3.22, 4 Se 3.22
3 Te 0.0000 0.0000 0.0000  8 Sb 3.22
4 Se 0.5000 0.5000 0.5000  8 Sb 3.22

***

No. 4
Density functional theory data (PBE-GGA) for a geometry-optimized Nb3AgAs structure.

## Properties
The symmetry is Pm-3m (221). For the formation energy, the calculation gives 72.96 kJ per mole of atoms. The calculation puts the theoretical density at 7080 kg/m³. The value obtained for the total magnetic moment is 0.00 μB/f.u. As for the energy above the most stable polymorph in this dataset: 0 meV/atom.

Lattice parameters (Å, degrees): 4.7658 4.7658 4.7658 90.00 90.00 90.00
Last column: nearest neighbours and their distance in Å.
Element x y z (fractional)
1 Nb 0.0000 0.0000 0.5000  2 As 2.38
2 Nb 0.0000 0.5000 0.0000  2 As 2.38
3 Nb 0.5000 0.0000 0.0000  2 As 2.38
4 Ag 0.5000 0.5000 0.5000  12 Nb 3.37
5 As 0.0000 0.0000 0.0000  6 Nb 2.38

***

No. 5
Density functional theory data (PBE-GGA) for a geometry-optimized Ce4Pt2Pb structure.

## Properties
The symmetry is R-3m (166). For the formation energy, the calculation gives -58.99 kJ per mole of atoms. The calculation puts the theoretical density at 9738 kg/m³. The value obtained for the total magnetic moment is 4.01 μB/f.u.

Lattice parameters (Å, degrees): 11.7888 11.7888 11.7888 21.77 21.77 21.77
Last column: nearest neighbours and their distance in Å.
Element x y z (fractional)
1 Ce 0.1097 0.1097 0.1097  3 Pt 2.96, 3 Pb 3.24
2 Ce 0.3063 0.3063 0.3063  4 Pt 2.92-3.25, 3 Ce 3.17
3 Ce 0.6937 0.6937 0.6937  4 Pt 2.92-3.25, 3 Ce 3.17
4 Ce 0.8903 0.8903 0.8903  3 Pt 2.96, 3 Pb 3.24
5 Pt 0.4006 0.4006 0.4006  7 Ce 2.92-3.25
6 Pt 0.5994 0.5994 0.5994  7 Ce 2.92-3.25
7 Pb 0.5000 0.5000 0.5000  6 Ce 3.24, 2 Pt 3.43

***

No. 6
Density functional theory data (PBE-GGA) for a geometry-optimized KFeNi2 structure.

## Properties
The symmetry is Fm-3m (225). For the formation energy, the calculation gives 103.18 kJ per mole of atoms. The calculation puts the theoretical density at 5466 kg/m³. The value obtained for the total magnetic moment is 3.97 μB/f.u. As for the energy above the most stable polymorph in this dataset: 629 meV/atom.

Lattice parameters (Å, degrees): 4.5016 4.5016 4.5016 60.00 60.00 60.00
Last column: nearest neighbours and their distance in Å.
Element x y z (fractional)
1 K 0.0000 0.0000 0.0000  8 Ni 2.76
2 Fe 0.5000 0.5000 0.5000  8 Ni 2.76
3 Ni 0.2500 0.2500 0.2500  4 Fe 2.76, 4 K 2.76
4 Ni 0.7500 0.7500 0.7500  4 Fe 2.76, 4 K 2.76

***

No. 7
Density functional theory data (PBE-GGA) for a geometry-optimized Zr2TiO2 structure.

## Properties
The symmetry is P4/mbm (127). The calculation puts the theoretical density at 6215 kg/m³. Its raw formation energy is -771 meV per atom. The value obtained for the total magnetic moment is 0.00 μB/f.u. As for the energy above the most stable polymorph in this dataset: 813 meV/atom.

Lattice parameters (Å, degrees): 7.0614 7.0614 2.8111 90.00 90.00 90.00
Last column: nearest neighbours and their distance in Å.
Element x y z (fractional)
1 Zr 0.1590 0.3410 0.0000  6 O 2.47-2.56, 2 Ti 2.66
2 Zr 0.3410 0.8410 0.0000  6 O 2.47-2.56, 2 Ti 2.66
3 Zr 0.6590 0.1590 0.0000  6 O 2.47-2.56, 2 Ti 2.66
4 Zr 0.8410 0.6590 0.0000  6 O 2.47-2.56, 2 Ti 2.66
5 Ti 0.0000 0.0000 0.0000  4 Zr 2.66, 2 Ti 2.81
6 Ti 0.5000 0.5000 0.0000  4 Zr 2.66, 2 Ti 2.81
7 O 0.1270 0.6270 0.5000  6 Zr 2.47-2.56, 1 O 2.54
8 O 0.3730 0.1270 0.5000  6 Zr 2.47-2.56, 1 O 2.54
9 O 0.6270 0.8730 0.5000  6 Zr 2.47-2.56, 1 O 2.54
10 O 0.8730 0.3730 0.5000  6 Zr 2.47-2.56, 1 O 2.54

***

No. 8
Density functional theory data (PBE-GGA) for a geometry-optimized CaSb2O4 structure.

## Properties
The symmetry is R3m (160). The calculation puts the theoretical density at 4966 kg/m³. Its raw formation energy is -1600 meV per atom. The value obtained for the total magnetic moment is 0.00 μB/f.u. As for the energy above the most stable polymorph in this dataset: 196 meV/atom.

Lattice parameters (Å, degrees): 6.9088 6.9088 6.9088 59.86 59.86 59.86
Last column: nearest neighbours and their distance in Å.
Element x y z (fractional)
1 Ca 0.0000 0.0000 0.0000  4 O 2.35-2.51
2 Ca 0.3782 0.3782 0.3782  6 O 2.29-2.43
3 Sb 0.3827 0.3827 0.8827  5 O 2.20-2.45
4 Sb 0.3827 0.8827 0.3827  5 O 2.20-2.45
5 Sb 0.7724 0.7724 0.7724  4 O 2.01-2.17
6 Sb 0.8827 0.3827 0.3827  5 O 2.20-2.45
7 O 0.1311 0.1311 0.5831  2 Sb 2.20, 2 Ca 2.35-2.43
8 O 0.1311 0.5831 0.1311  2 Sb 2.20, 2 Ca 2.35-2.43
9 O 0.1479 0.1479 0.1479  3 Sb 2.30, 1 Ca 2.51
10 O 0.1518 0.6127 0.6127  1 Sb 2.17, 1 Ca 2.29
11 O 0.5831 0.1311 0.1311  2 Sb 2.20, 2 Ca 2.35-2.43
12 O 0.6127 0.1518 0.6127  1 Sb 2.17, 1 Ca 2.29
13 O 0.6127 0.6127 0.1518  1 Sb 2.17, 1 Ca 2.29
14 O 0.6539 0.6539 0.6539  1 Sb 2.01

***

No. 9
Density functional theory data (PBE-GGA) for a geometry-optimized Ni2HgCl structure.

## Properties
The symmetry is Cm (8). The calculation puts the theoretical density at 7981 kg/m³. Its raw formation energy is 79 meV per atom. The value obtained for the total magnetic moment is 1.02 μB/f.u. As for the energy above the most stable polymorph in this dataset: 0 meV/atom.

Lattice parameters (Å, degrees): 6.4238 6.4238 3.7638 90.36 90.36 28.26
Last column: nearest neighbours and their distance in Å.
Element x y z (fractional)
1 Ni 0.0000 0.0000 0.0000  1 Cl 2.18, 1 Ni 2.43
2 Ni 0.1947 0.1947 0.0054  2 Cl 2.26, 1 Ni 2.43
3 Hg 0.5856 0.5856 0.5024  8 Ni 2.67-2.80
4 Cl 0.8251 0.8251 0.0095  3 Ni 2.18-2.26

***

No. 10
Density functional theory data (PBE-GGA) for a geometry-optimized BaScAg2 structure.

## Properties
The symmetry is Pmmm (47). For the formation energy, the calculation gives -16.83 kJ per mole of atoms. The calculation puts the theoretical density at 6264 kg/m³. The value obtained for the total magnetic moment is 0.00 μB/f.u. As for the energy above the most stable polymorph in this dataset: 0 meV/atom.

Lattice parameters (Å, degrees): 3.6536 3.7207 7.7621 90.00 90.00 90.00
Last column: nearest neighbours and their distance in Å.
Element x y z (fractional)
1 Ba 0.0000 0.0000 0.0000  8 Ag 3.56, 4 Ba 3.65-3.72, 2 Sc 3.88
2 Sc 0.0000 0.0000 0.5000  8 Ag 2.99
3 Ag 0.5000 0.5000 0.3122  1 Ag 2.91, 4 Sc 2.99
4 Ag 0.5000 0.5000 0.6878  1 Ag 2.91, 4 Sc 2.99

***

No. 11
Density functional theory data (PBE-GGA) for a geometry-optimized SrTbSe2 structure.

## Properties
The symmetry is R3m (160). The calculation puts the theoretical density at 6091 kg/m³. Its raw formation energy is -1820 meV per atom. The value obtained for the total magnetic moment is 0.00 μB/f.u. As for the energy above the most stable polymorph in this dataset: 71 meV/atom.

Lattice parameters (Å, degrees): 7.7770 7.7770 7.7770 30.94 30.94 30.94
Last column: nearest neighbours and their distance in Å.
Element x y z (fractional)
1 Sr 0.0000 0.0000 0.0000  6 Se 3.06-3.19
2 Tb 0.1741 0.1741 0.1741  6 Se 2.89-2.97
3 Se 0.5805 0.5805 0.5805  3 Tb 2.89, 3 Sr 3.06
4 Se 0.7619 0.7619 0.7619  3 Tb 2.97, 3 Sr 3.19

***

No. 12
Density functional theory data (PBE-GGA) for a geometry-optimized CuNiAs2 structure.

## Properties
The symmetry is Amm2 (38). For the formation energy, the calculation gives -5.50 kJ per mole of atoms. The calculation puts the theoretical density at 6699 kg/m³. The value obtained for the total magnetic moment is 0.00 μB/f.u.

Lattice parameters (Å, degrees): 4.4562 4.2726 4.2726 56.01 90.00 90.00
Last column: nearest neighbours and their distance in Å.
Element x y z (fractional)
1 Cu 0.0000 0.0000 0.0000  5 As 2.37-2.51, 2 Ni 2.57
2 Ni 0.5000 0.1708 0.1708  5 As 2.40-2.48, 2 Cu 2.57
3 As 0.0000 0.3136 0.3136  3 Cu 2.37-2.45, 2 Ni 2.48
4 As 0.5000 0.8458 0.8458  3 Ni 2.40-2.45, 2 Cu 2.51